Entry from the Alexandria database: crystalline Pm2USbN5 at its relaxed geometry (GGA-PBE).

Output
formation energy without anion corrections	-0.820	eV/atom
N(E_F)	6.751	states/eV per cell
crystal system	orthorhombic

Cell: 7.3772 7.3772 10.6650 Å, 90.00 90.00 152.16°
With the nearest neighbours (Å) after each atom.
Sites, in units of the cell vectors:
Pm 0.1139 0.8861 0.5000  5 N 2.48-2.72
Pm 0.1349 0.8651 0.0867  6 N 2.54-2.67
Pm 0.8651 0.1349 0.5867  6 N 2.54-2.67
Pm 0.8861 0.1139 0.0000  5 N 2.48-2.72
U 0.2172 0.7828 0.8067  6 N 2.20-2.40
U 0.7828 0.2172 0.3067  6 N 2.20-2.40
Sb 0.4851 0.5149 0.2726  4 N 2.05-2.10
Sb 0.5149 0.4851 0.7726  4 N 2.05-2.10
N 0.0543 0.9457 0.8613  2 Sb 2.09
N 0.2811 0.7189 0.4403  2 U 2.28, 1 Pm 2.48
N 0.2999 0.7001 0.1752  2 U 2.28, 1 Pm 2.54
N 0.3708 0.6292 0.8082  1 Sb 2.10, 1 U 2.20
N 0.4961 0.5039 0.5823  1 Sb 2.05
N 0.5039 0.4961 0.0823  1 Sb 2.05
N 0.6292 0.3708 0.3082  1 Sb 2.10, 1 U 2.20
N 0.7001 0.2999 0.6752  2 U 2.28, 1 Pm 2.54
N 0.7189 0.2811 0.9403  2 U 2.28, 1 Pm 2.48
N 0.9457 0.0543 0.3613  2 Sb 2.09